First-principles (PBE) data for YNbN2O after structural relaxation, as listed in OQMD via LeMat-Bulk.

Cell and atoms, written as extended XYZ:
```
10
Lattice="3.650 0.000 0.000 0.000 6.219 0.000 0.000 0.000 5.788" Properties=species:S:1:pos:R:3 pbc="T T T"
Y 0.000 0.965 0.000
Y 0.000 5.254 2.894
Nb 1.825 2.004 3.134
Nb 1.825 4.216 0.240
N 0.000 1.293 3.484
N 0.000 4.926 0.591
N 1.825 2.498 5.196
N 1.825 3.722 2.302
O 1.825 0.626 1.577
O 1.825 5.594 4.471
```

---

First-principles (PBE) data for YNbN2O after structural relaxation, as listed in OQMD via LeMat-Bulk.

Cell and atoms, written as extended XYZ:
```
10
Lattice="5.475 0.000 0.000 -2.708 4.831 0.000 -2.652 -1.675 5.022" Properties=species:S:1:pos:R:3 pbc="T T T"
Y 0.000 0.000 0.000
Y 0.023 3.186 0.927
Nb -2.622 1.738 2.646
Nb 0.144 -0.012 3.308
N -0.880 1.250 1.828
N -1.978 3.058 4.118
N 1.266 1.292 4.169
N 2.213 3.226 1.676
O -1.602 0.148 4.256
O 1.718 0.127 1.795
```

---

First-principles (PBE) data for YNbN2O after structural relaxation, as listed in OQMD via LeMat-Bulk.

Cell and atoms, written as extended XYZ:
```
30
Lattice="5.724 0.000 0.000 -2.862 4.957 0.000 0.000 0.000 14.089" Properties=species:S:1:pos:R:3 pbc="T T T"
Y 0.000 0.000 3.522
Y 0.000 0.000 10.567
Y 0.000 3.305 1.772
Y 0.000 3.305 5.273
Y 2.862 1.652 8.817
Y 2.862 1.652 12.317
Nb 0.000 0.000 0.000
Nb 0.000 0.000 7.045
Nb 0.000 3.305 9.089
Nb 0.000 3.305 12.045
Nb 2.862 1.652 2.044
Nb 2.862 1.652 5.000
N 0.000 1.564 8.352
N 0.000 1.564 12.782
N -1.507 4.175 8.352
N -1.507 4.175 12.782
N 1.354 0.782 1.307
N 1.354 0.782 5.737
N 1.507 4.175 8.352
N 1.507 4.175 12.782
N 4.369 0.782 1.307
N 4.369 0.782 5.737
N 2.862 3.393 1.307
N 2.862 3.393 5.737
O -1.347 2.527 3.522
O 1.347 2.527 3.522
O 0.000 4.860 3.522
O 2.862 0.097 10.567
O 1.515 2.430 10.567
O 4.209 2.430 10.567
```

---

Number 1: total moment 0.0006 μB/atom, calculated total energy -94.06 eV for the cell shown. Number 2: total moment 0.0001 μB/atom, calculated total energy -93.66 eV for the cell shown. Number 3: total moment 0.0000 μB/atom, calculated total energy -273.44 eV for the cell shown.